# CaGa2PS6 PBE-GGA optimized geometry
data_CaGa2PS6
_cell_length_a 13.722
_cell_length_b 11.642
_cell_length_c 7.126
_cell_angle_alpha 90.00
_cell_angle_beta 118.36
_cell_angle_gamma 90.00
_symmetry_space_group_name_H-M 'C 1 2/c 1'
_symmetry_Int_Tables_number 15
loop_
_symmetry_equiv_pos_as_xyz
'x,y,z'
'-x,-y,-z'
'-x,y,-z+1/2'
'x,-y,z+1/2'
'x+1/2,y+1/2,z'
'-x+1/2,-y+1/2,-z'
'-x+1/2,y+1/2,-z+1/2'
'x+1/2,-y+1/2,z+1/2'
loop_
_atom_site_label
_atom_site_type_symbol
_atom_site_fract_x
_atom_site_fract_y
_atom_site_fract_z
Ca1 Ca 0.000 0.215 0.250
Ga1 Ga 0.231 0.089 0.164
P1 P 0.000 0.283 0.750
S1 S 0.080 0.380 0.610
S2 S 0.147 0.267 0.088
S3 S 0.173 0.052 0.416
# Spin magnetization, μB per cell: 4.1
# ΔE_f (raw), kJ per mole of atoms: -64

***

# CaGaP2S PBE-GGA optimized geometry
data_CaGaP2S
_cell_length_a 4.684
_cell_length_b 4.684
_cell_length_c 5.012
_cell_angle_alpha 90.00
_cell_angle_beta 90.00
_cell_angle_gamma 90.00
_symmetry_space_group_name_H-M 'P 4/m m m'
_symmetry_Int_Tables_number 123
_symmetry_space_group_name_Hall '-P 4 2'
loop_
_atom_site_label
_atom_site_type_symbol
_atom_site_fract_x
_atom_site_fract_y
_atom_site_fract_z
Ca1 Ca 0.000 0.000 0.000
Ga1 Ga 0.500 0.500 0.500
P1 P 0.000 0.500 0.500
S1 S 0.500 0.500 0.000
# Spin magnetization, μB per cell: 0.0
# Polymorph energy (0 for the lowest one), meV per atom: 0
# ΔE_f (raw), kJ per mole of atoms: -2

***

# Ca2GaSbP PBE-GGA optimized geometry
data_Ca2GaSbP
_cell_length_a 7.371
_cell_length_b 4.220
_cell_length_c 9.238
_cell_angle_alpha 90.00
_cell_angle_beta 106.89
_cell_angle_gamma 90.00
_symmetry_space_group_name_H-M 'P 1 21/m 1'
_symmetry_Int_Tables_number 11
loop_
_symmetry_equiv_pos_as_xyz
'x,y,z'
'-x,-y,-z'
'-x,y+1/2,-z'
'x,-y+1/2,z'
loop_
_atom_site_label
_atom_site_type_symbol
_atom_site_fract_x
_atom_site_fract_y
_atom_site_fract_z
Ca1 Ca 0.206 0.250 0.391
Ca2 Ca 0.206 0.250 0.970
Ga1 Ga 0.494 0.250 0.793
Sb1 Sb 0.265 0.750 0.678
P1 P 0.184 0.750 0.181
# Spin magnetization, μB per cell: 0.0
# ΔE_f (raw), kJ per mole of atoms: -75